Density functional theory data (PBE-GGA) for a geometry-optimized CsCrIr2Pb structure.

## Properties
The calculation puts the total energy at -5.09 eV per atom. As for the volume: 23.80 Å³ per atom. Its symmetry is P4/mmm. The energy of formation is 1.293 eV/atom. The magnetization comes out at 0.00 μB/f.u.

Lattice parameters (Å, degrees): 4.6952 4.6952 5.3986 90.00 90.00 90.00
Atoms (fractional coordinates):
Cs 0.0000 0.0000 0.0000
Cr 0.0000 0.0000 0.5000
Ir 0.0000 0.5000 0.5000
Ir 0.5000 0.0000 0.5000
Pb 0.5000 0.5000 0.0000